# Ba2LiBr5 (GGA-PBE, optimized geometry)
# Final energy ... -120.39 eV for the cell shown
# Magnetization ... 0.000 Bohr magnetons per cell
data_Ba2LiBr5
_cell_length_a 12.978
_cell_length_b 10.011
_cell_length_c 9.632
_cell_angle_alpha 90.00
_cell_angle_beta 105.00
_cell_angle_gamma 90.00
_space_group_name_H-M_alt 'P 1 21/c 1'
_space_group_IT_number 14
loop_
_space_group_symop_operation_xyz
'x,y,z'
'-x,-y,-z'
'-x,y+1/2,-z+1/2'
'x,-y+1/2,z+1/2'
loop_
_atom_site_label
_atom_site_fract_x
_atom_site_fract_y
_atom_site_fract_z
_atom_site_occupancy
Ba1 0.028 0.125 0.253 1
Ba2 0.392 0.141 0.057 1
Li1 0.304 0.587 0.025 1
Br1 0.095 0.638 0.974 1
Br2 0.115 0.106 0.943 1
Br3 0.286 0.102 0.333 1
Br4 0.368 0.689 0.478 1
Br5 0.411 0.062 0.723 1

# TlGaH3 (GGA-PBE, optimized geometry)
# Magnetization ... 0.000 Bohr magnetons per cell
# Distance to the lowest polymorph of the same formula ... 0.0000 eV/atom
data_TlGaH3
_cell_length_a 3.961
_cell_length_b 3.961
_cell_length_c 3.961
_cell_angle_alpha 90.00
_cell_angle_beta 90.00
_cell_angle_gamma 90.00
_space_group_name_H-M_alt 'P m -3 m'
_space_group_IT_number 221
_space_group_name_Hall '-P 4 2 3'
loop_
_atom_site_label
_atom_site_fract_x
_atom_site_fract_y
_atom_site_fract_z
_atom_site_occupancy
Tl1 0.000 0.000 0.000 1
Ga1 0.500 0.500 0.500 1
H1 0.000 0.500 0.500 1

# LaHoN2 (GGA-PBE, optimized geometry)
# Final energy ... -30.85 eV for the cell shown
# Magnetization ... 0.000 Bohr magnetons per cell
data_LaHoN2
_cell_length_a 3.5183
_cell_length_b 3.5183
_cell_length_c 6.2152
_cell_angle_alpha 90.00
_cell_angle_beta 90.00
_cell_angle_gamma 120.00
_space_group_name_H-M_alt 'P -3 m 1'
_space_group_IT_number 164
_space_group_name_Hall '-P 3 2"'
loop_
_atom_site_label
_atom_site_fract_x
_atom_site_fract_y
_atom_site_fract_z
_atom_site_occupancy
La1 0.0000 0.0000 0.0000 1
Ho1 0.0000 0.0000 0.5000 1
N1 0.3333 0.6667 0.7342 1

# LaY4Th (GGA-PBE, optimized geometry)
# Magnetization ... 0.004 Bohr magnetons per cell
# Calculated formation energy ... 198 meV/atom
# Distance to the lowest polymorph of the same formula ... 0.1549 eV/atom
data_LaY4Th
_cell_length_a 11.527
_cell_length_b 3.409
_cell_length_c 11.565
_cell_angle_alpha 90.00
_cell_angle_beta 117.29
_cell_angle_gamma 90.00
_space_group_name_H-M_alt 'C 1 2/m 1'
_space_group_IT_number 12
loop_
_space_group_symop_operation_xyz
'x,y,z'
'-x,-y,-z'
'-x,y,-z'
'x,-y,z'
'x+1/2,y+1/2,z'
'-x+1/2,-y+1/2,-z'
'-x+1/2,y+1/2,-z'
'x+1/2,-y+1/2,z'
loop_
_atom_site_label
_atom_site_fract_x
_atom_site_fract_y
_atom_site_fract_z
_atom_site_occupancy
La1 0.000 0.000 0.000 1
Y1 0.155 0.000 0.346 1
Y2 0.158 0.500 0.839 1
Th1 0.000 0.500 0.500 1